NaCrP2Cl | PBE-GGA | relaxed

Cell and atoms, written as CIF:
```
data_NaCrP2Cl
_chemical_formula_sum 'Na1 Cr1 P2 Cl1'
_cell_length_a 4.863
_cell_length_b 4.863
_cell_length_c 4.721
_cell_angle_alpha 90.00
_cell_angle_beta 90.00
_cell_angle_gamma 90.00
_space_group_name_H-M_alt 'P 4/m m m'
_space_group_IT_number 123
_space_group_name_Hall '-P 4 2'
loop_
_atom_site_label
_atom_site_type_symbol
_atom_site_fract_x
_atom_site_fract_y
_atom_site_fract_z
_atom_site_occupancy
Na1 Na 0.000 0.000 0.000 1
Cr1 Cr 0.500 0.500 0.500 1
P1 P 0.000 0.500 0.000 1
Cl1 Cl 0.000 0.000 0.500 1
```

Summary:
The magnetization comes out at 0.10 μB/cell. The value obtained for the energy above the most stable polymorph in this dataset is 1820 meV per atom.



NaCrP2Cl | PBE-GGA | relaxed

Cell and atoms, written as CIF:
```
data_NaCrP2Cl
_chemical_formula_sum 'Na1 Cr1 P2 Cl1'
_cell_length_a 4.331
_cell_length_b 4.331
_cell_length_c 5.667
_cell_angle_alpha 90.00
_cell_angle_beta 90.00
_cell_angle_gamma 90.00
_space_group_name_H-M_alt 'P 4/m m m'
_space_group_IT_number 123
_space_group_name_Hall '-P 4 2'
loop_
_atom_site_label
_atom_site_type_symbol
_atom_site_fract_x
_atom_site_fract_y
_atom_site_fract_z
_atom_site_occupancy
Na1 Na 0.000 0.000 0.000 1
Cr1 Cr 0.500 0.500 0.500 1
P1 P 0.000 0.500 0.500 1
Cl1 Cl 0.500 0.500 0.000 1
```

Summary:
The magnetization comes out at 0.84 μB/cell. The value obtained for the energy above the most stable polymorph in this dataset is 0 meV per atom.



NaCrPb2Cl8 | PBE-GGA | relaxed

Cell and atoms, written as CIF:
```
data_NaCrPb2Cl8
_chemical_formula_sum 'Na1 Cr1 Pb2 Cl8'
_cell_length_a 6.291
_cell_length_b 8.273
_cell_length_c 6.534
_cell_angle_alpha 90.00
_cell_angle_beta 90.92
_cell_angle_gamma 90.00
_space_group_name_H-M_alt 'P 1 2/m 1'
_space_group_IT_number 10
loop_
_space_group_symop_operation_xyz
'x,y,z'
'-x,-y,-z'
'-x,y,-z'
'x,-y,z'
loop_
_atom_site_label
_atom_site_type_symbol
_atom_site_fract_x
_atom_site_fract_y
_atom_site_fract_z
_atom_site_occupancy
Na1 Na 0.000 0.000 0.000 1
Cr1 Cr 0.000 0.500 0.000 1
Pb1 Pb 0.500 0.259 0.500 1
Cl1 Cl 0.208 0.500 0.700 1
Cl2 Cl 0.217 0.290 0.140 1
Cl3 Cl 0.271 0.000 0.663 1
```

Summary:
The magnetization comes out at 3.00 μB/cell.



no.,formation energy without anion corrections (eV/atom)
1,1.579
2,-0.241
3,-1.210